Record 1
Entry from the Alexandria database: a relaxed RbNbGa2 crystal (PBE-GGA). Values from VASP.

Geometry as Quantum ESPRESSO input:
```
&SYSTEM
  ibrav = 0, nat = 4, ntyp = 3
/
ATOMIC_SPECIES
Nb 92.91 Nb.upf
Ga 69.72 Ga.upf
Rb 85.47 Rb.upf
ATOMIC_POSITIONS crystal
Nb 0.500 0.500 0.500
Ga 0.250 0.250 0.250
Ga 0.750 0.750 0.750
Rb 0.000 0.000 0.000
CELL_PARAMETERS angstrom
0.000 3.630 3.630
3.630 0.000 3.630
3.630 3.630 0.000
```

Properties
The space-group type is Fm-3m, No. 225. Its crystal system is cubic. As for the formation energy: 0.800 eV/atom. The polymorph energy (0 for the lowest one) is 136 meV/atom.

---

Record 2
Entry from the Alexandria database: a relaxed RbNb3Ga crystal (PBE-GGA). Values from VASP.

Geometry as Quantum ESPRESSO input:
```
&SYSTEM
  ibrav = 0, nat = 5, ntyp = 3
/
ATOMIC_SPECIES
Nb 92.91 Nb.upf
Ga 69.72 Ga.upf
Rb 85.47 Rb.upf
ATOMIC_POSITIONS crystal
Nb 0.000 0.500 0.000
Nb 0.000 0.000 0.500
Nb 0.500 0.000 0.000
Ga 0.500 0.500 0.500
Rb 0.000 0.000 0.000
CELL_PARAMETERS angstrom
-2.730 -2.270 -3.219
3.774 -2.628 -1.348
-1.126 -3.303 3.285
```

Properties
The space-group type is Pm-3m, No. 221. Its crystal system is cubic. As for the formation energy: 2.624 eV/atom. The polymorph energy (0 for the lowest one) is 1057 meV/atom.

---

Record 3
Entry from the Alexandria database: a relaxed Rb2NbGa crystal (PBE-GGA). Values from VASP.

Geometry as Quantum ESPRESSO input:
```
&SYSTEM
  ibrav = 0, nat = 8, ntyp = 3
/
ATOMIC_SPECIES
Nb 92.91 Nb.upf
Ga 69.72 Ga.upf
Rb 85.47 Rb.upf
ATOMIC_POSITIONS crystal
Nb 0.000 0.000 0.000
Nb 0.750 0.250 0.500
Ga 0.500 0.500 0.000
Ga 0.250 0.750 0.500
Rb 0.452 0.125 0.250
Rb 0.298 0.625 0.250
Rb 0.375 0.548 0.750
Rb 0.875 0.702 0.750
CELL_PARAMETERS angstrom
-12.753 -3.307 -0.769
1.346 -7.668 10.656
-6.321 -3.463 6.479
```

Properties
The space-group type is I-42d, No. 122. Its crystal system is tetragonal. As for the formation energy: 0.955 eV/atom.

---

Record 4
Entry from the Alexandria database: a relaxed Rb3NbGa crystal (PBE-GGA). Values from VASP.

Geometry as Quantum ESPRESSO input:
```
&SYSTEM
  ibrav = 0, nat = 5, ntyp = 3
/
ATOMIC_SPECIES
Nb 92.91 Nb.upf
Ga 69.72 Ga.upf
Rb 85.47 Rb.upf
ATOMIC_POSITIONS crystal
Nb 0.000 0.000 0.000
Ga 0.500 0.500 0.500
Rb 0.000 0.500 0.000
Rb 0.000 0.000 0.500
Rb 0.500 0.000 0.000
CELL_PARAMETERS angstrom
6.929 0.000 0.000
0.000 6.929 0.000
0.000 0.000 6.929
```

Properties
The space-group type is Pm-3m, No. 221. Its crystal system is cubic. As for the formation energy: 1.306 eV/atom.

---

Record 5
Entry from the Alexandria database: a relaxed RbNbGa2Rh crystal (PBE-GGA). Values from VASP.

Geometry as Quantum ESPRESSO input:
```
&SYSTEM
  ibrav = 0, nat = 5, ntyp = 4
/
ATOMIC_SPECIES
Nb 92.91 Nb.upf
Rh 102.91 Rh.upf
Ga 69.72 Ga.upf
Rb 85.47 Rb.upf
ATOMIC_POSITIONS crystal
Nb 0.000 0.500 0.000
Rh 0.000 0.000 0.000
Ga 0.000 0.000 0.500
Ga 0.500 0.000 0.000
Rb 0.500 0.500 0.500
CELL_PARAMETERS angstrom
-2.733 -4.096 -0.246
0.713 -0.171 -5.075
4.046 -2.739 0.661
```

Properties
The space-group type is P4/mmm, No. 123. Its crystal system is tetragonal. As for the formation energy: 0.371 eV/atom.

---

Record 6
Entry from the Alexandria database: a relaxed RbNb2GaRh crystal (PBE-GGA). Values from VASP.

Geometry as Quantum ESPRESSO input:
```
&SYSTEM
  ibrav = 0, nat = 5, ntyp = 4
/
ATOMIC_SPECIES
Nb 92.91 Nb.upf
Rh 102.91 Rh.upf
Ga 69.72 Ga.upf
Rb 85.47 Rb.upf
ATOMIC_POSITIONS crystal
Nb 0.000 0.000 0.500
Nb 0.500 0.000 0.000
Rh 0.500 0.500 0.500
Ga 0.000 0.500 0.000
Rb 0.000 0.000 0.000
CELL_PARAMETERS angstrom
4.775 0.000 0.000
0.000 5.053 0.000
0.000 0.000 4.775
```

Properties
The space-group type is P4/mmm, No. 123. Its crystal system is tetragonal. As for the formation energy: 2.737 eV/atom.

---

Record 7
Entry from the Alexandria database: a relaxed RbScNbGa2 crystal (PBE-GGA). Values from VASP.

Geometry as Quantum ESPRESSO input:
```
&SYSTEM
  ibrav = 0, nat = 5, ntyp = 4
/
ATOMIC_SPECIES
Sc 44.96 Sc.upf
Nb 92.91 Nb.upf
Ga 69.72 Ga.upf
Rb 85.47 Rb.upf
ATOMIC_POSITIONS crystal
Sc 0.000 0.500 0.000
Nb 0.500 0.500 0.500
Ga 0.000 0.000 0.500
Ga 0.500 0.000 0.000
Rb 0.000 0.000 0.000
CELL_PARAMETERS angstrom
-1.748 -3.496 3.404
0.736 -3.524 -3.241
4.816 -0.652 1.803
```

Properties
The space-group type is P4/mmm, No. 123. Its crystal system is tetragonal. As for the formation energy: 1.971 eV/atom.

---

Record 8
Entry from the Alexandria database: a relaxed RbNb2GaSe crystal (PBE-GGA). Values from VASP.

Geometry as Quantum ESPRESSO input:
```
&SYSTEM
  ibrav = 0, nat = 5, ntyp = 4
/
ATOMIC_SPECIES
Nb 92.91 Nb.upf
Ga 69.72 Ga.upf
Se 78.96 Se.upf
Rb 85.47 Rb.upf
ATOMIC_POSITIONS crystal
Nb 0.000 0.500 0.000
Nb 0.500 0.000 0.000
Ga 0.500 0.500 0.500
Se 0.000 0.000 0.500
Rb 0.000 0.000 0.000
CELL_PARAMETERS angstrom
-4.615 1.628 1.812
-2.065 -0.555 -4.760
-1.425 -5.435 1.252
```

Properties
The space-group type is P4/mmm, No. 123. Its crystal system is tetragonal. The value obtained for the uncorrected formation energy is 12.17 eV per formula unit.

---

Number 1: density 5.5 g/cm³. Number 2: density 6.5 g/cm³. Number 3: density 2.4 g/cm³. Number 4: density 2.1 g/cm³. Number 5: density 5.6 g/cm³. Number 6: density 6.4 g/cm³. Number 7: density 4.6 g/cm³. Number 8: density 4.4 g/cm³.